Record 1
Computed, not measured: an optimized crystal structure of LaTb2PtN4 at the PBE-GGA level of DFT.

Computed properties:
Electronic total energy: -7.58 eV per atom
Crystal system: orthorhombic

Unit cell a=3.4547 b=6.2517 c=11.7382 alpha=90.00 beta=90.00 gamma=106.04
With the nearest neighbours (Å) after each atom.
Atoms (fractional coordinates):
La 0.1115 0.2230 0.7500  6 N 2.58-2.66
La 0.8885 0.7770 0.2500  6 N 2.58-2.66
Tb 0.3714 0.7428 0.5453  3 N 2.32-2.38
Tb 0.6286 0.2572 0.0453  3 N 2.32-2.38
Tb 0.6286 0.2572 0.4547  3 N 2.32-2.38
Tb 0.3714 0.7428 0.9547  3 N 2.32-2.38
Pt 0.8492 0.6983 0.7500  4 N 2.08-2.13
Pt 0.1508 0.3017 0.2500  4 N 2.08-2.13
N 0.2736 0.5473 0.1247  1 Pt 2.08, 1 Tb 2.32
N 0.7264 0.4527 0.6247  1 Pt 2.08, 1 Tb 2.32
N 0.7264 0.4527 0.8753  1 Pt 2.08, 1 Tb 2.32
N 0.2736 0.5473 0.3753  1 Pt 2.08, 1 Tb 2.32
N 0.0000 0.0000 0.5000  4 Tb 2.38
N 0.0000 0.0000 0.0000  4 Tb 2.38
N 0.4525 0.9050 0.7500  2 Pt 2.13
N 0.5475 0.0950 0.2500  2 Pt 2.13

Record 2
Computed, not measured: an optimized crystal structure of LaTePtN2 at the PBE-GGA level of DFT.

Computed properties:
Electronic total energy: -5.59 eV per atom
Crystal system: tetragonal
Polymorph energy (0 for the lowest one): 0 meV/atom

Unit cell a=4.3114 b=4.3114 c=5.2613 alpha=90.00 beta=90.00 gamma=90.00
With the nearest neighbours (Å) after each atom.
Atoms (fractional coordinates):
N 0.0000 0.5000 0.0000  2 Pt 2.16
N 0.5000 0.0000 0.0000  2 Pt 2.16
Te 0.0000 0.0000 0.5000  2 Pt 2.63
Pt 0.0000 0.0000 0.0000  4 N 2.16
La 0.5000 0.5000 0.5000  4 Te 3.05, 8 N 3.40

Record 3
Computed, not measured: an optimized crystal structure of LaTePtN2 at the PBE-GGA level of DFT.

Computed properties:
Electronic total energy: -5.19 eV per atom
Crystal system: tetragonal
Polymorph energy (0 for the lowest one): 405 meV/atom

Unit cell a=4.0510 b=4.0510 c=7.3399 alpha=90.00 beta=90.00 gamma=90.00
With the nearest neighbours (Å) after each atom.
Atoms (fractional coordinates):
N 0.0000 0.5000 0.0000  2 La 2.03
N 0.5000 0.0000 0.0000  2 La 2.03
Te 0.0000 0.0000 0.5000  4 Pt 2.86
Pt 0.5000 0.5000 0.5000  4 Te 2.86
La 0.0000 0.0000 0.0000  4 N 2.03

Record 4
Computed, not measured: an optimized crystal structure of La3TePtN at the PBE-GGA level of DFT.

Computed properties:
Electronic total energy: -6.72 eV per atom
Crystal system: monoclinic

Unit cell a=4.2220 b=9.3400 c=9.7640 alpha=103.25 beta=90.00 gamma=90.00
With the nearest neighbours (Å) after each atom.
Atoms (fractional coordinates):
La 0.7500 0.8765 0.1630  1 N 2.24
La 0.2500 0.1235 0.8370  1 N 2.24
La 0.2500 0.8378 0.4829  3 N 2.33-2.44
La 0.7500 0.1622 0.5171  3 N 2.33-2.44
La 0.7500 0.4280 0.1484  3 Pt 2.88-2.93
La 0.2500 0.5720 0.8516  3 Pt 2.88-2.93
Te 0.2500 0.1735 0.2221  7 La 3.38-3.68
Te 0.7500 0.8265 0.7779  7 La 3.38-3.68
Pt 0.2500 0.6470 0.1550  5 La 2.88-3.00
Pt 0.7500 0.3530 0.8450  5 La 2.88-3.00
N 0.2500 0.0839 0.6020  4 La 2.24-2.44
N 0.7500 0.9161 0.3980  4 La 2.24-2.44

Question: electronic total energy of number 2 (LaTePtN2)?
Answer: -5.59 eV per atom

Question: Among the records above, which one has the lowest electronic total energy?
Answer: LaTb2PtN4

Question: Which value of electronic total energy does entry 2 give?
Answer: -5.59 eV per atom

Question: Among the records above, which one has the lowest electronic total energy?
Answer: LaTb2PtN4